[1]
Here is an optimized crystal structure of YScP2Cl from the Alexandria database. Energies are from GGA-PBEsol.

Lattice parameters (Å, degrees): 5.186 5.186 4.894 90.00 90.00 90.00
Atoms (fractional coordinates):
Y  0.000  0.000  0.000
Sc  0.500  0.500  0.500
P  0.000  0.500  0.000
P  0.500  0.000  0.000
Cl  0.000  0.000  0.500

- energy relative to the elements, uncorrected (eV/atom) = -0.287
- mass density (g/cm3) = 2.9
- VASP energy (eV per atom) = -5.69
- DOS at the Fermi energy (states/eV/cell) = 3.37

[2]
Here is an optimized crystal structure of ZrScP2Cl from the Alexandria database. Energies are from GGA-PBEsol.

Lattice parameters (Å, degrees): 4.881 4.881 4.513 90.00 90.00 90.00
Atoms (fractional coordinates):
Zr  0.000  0.000  0.000
Sc  0.500  0.500  0.500
P  0.000  0.500  0.500
P  0.500  0.000  0.500
Cl  0.500  0.500  0.000

- energy relative to the elements, uncorrected (eV/atom) = -0.197
- mass density (g/cm3) = 3.6
- VASP energy (eV per atom) = -6.05
- DOS at the Fermi energy (states/eV/cell) = 2.25

[3]
Here is an optimized crystal structure of PSeCl2 from the Alexandria database. Energies are from GGA-PBEsol.

Lattice parameters (Å, degrees): 5.926 8.178 2.948 90.00 90.00 90.00
Atoms (fractional coordinates):
P  0.000  0.000  0.000
P  0.500  0.500  0.000
Se  0.000  0.500  0.000
Se  0.500  0.000  0.000
Cl  0.250  0.250  0.500
Cl  0.250  0.750  0.500
Cl  0.750  0.250  0.500
Cl  0.750  0.750  0.500

- energy relative to the elements, uncorrected (eV/atom) = 0.680
- E above lowest polymorph (meV/atom) = 265
- mass density (g/cm3) = 4.2
- VASP energy (eV per atom) = -2.73
- DOS at the Fermi energy (states/eV/cell) = 6.35

[4]
Here is an optimized crystal structure of PSeCl9 from the Alexandria database. Energies are from GGA-PBEsol.

Lattice parameters (Å, degrees): 11.859 11.859 11.734 119.64 119.64 60.43
Atoms (fractional coordinates):
P  0.026  0.974  0.500
P  0.439  0.492  0.466
P  0.492  0.439  0.966
P  0.974  0.026  0.000
Se  0.467  0.999  0.445
Se  0.584  0.882  0.023
Se  0.882  0.584  0.523
Se  0.999  0.467  0.945
Cl  0.008  0.857  0.019
Cl  0.017  0.138  0.490
Cl  0.030  0.720  0.666
Cl  0.053  0.818  0.332
Cl  0.073  0.392  0.511
Cl  0.076  0.389  0.125
Cl  0.138  0.017  0.990
Cl  0.148  0.602  0.090
Cl  0.166  0.300  0.857
Cl  0.184  0.930  0.661
Cl  0.281  0.536  0.512
Cl  0.300  0.166  0.357
Cl  0.318  0.863  0.305
Cl  0.328  0.449  0.801
Cl  0.389  0.076  0.625
Cl  0.392  0.073  0.011
Cl  0.412  0.648  0.427
Cl  0.436  0.746  0.883
Cl  0.449  0.328  0.301
Cl  0.458  0.608  0.120
Cl  0.536  0.281  0.012
Cl  0.568  0.899  0.260
Cl  0.602  0.148  0.590
Cl  0.606  0.859  0.836
Cl  0.608  0.458  0.620
Cl  0.648  0.412  0.927
Cl  0.665  0.801  0.554
Cl  0.720  0.030  0.166
Cl  0.746  0.436  0.383
Cl  0.801  0.665  0.054
Cl  0.818  0.053  0.832
Cl  0.857  0.008  0.519
Cl  0.859  0.606  0.336
Cl  0.863  0.318  0.805
Cl  0.899  0.568  0.760
Cl  0.930  0.184  0.161

- energy relative to the elements, uncorrected (eV/atom) = -0.498
- mass density (g/cm3) = 2.4
- VASP energy (eV per atom) = -3.02
- DOS at the Fermi energy (states/eV/cell) = 0.00

[5]
Here is an optimized crystal structure of P2SeCl from the Alexandria database. Energies are from GGA-PBEsol.

Lattice parameters (Å, degrees): 6.098 6.773 7.438 90.00 90.00 90.00
Atoms (fractional coordinates):
P  0.000  0.250  0.250
P  0.000  0.250  0.750
P  0.000  0.750  0.250
P  0.000  0.750  0.750
P  0.500  0.250  0.250
P  0.500  0.250  0.750
P  0.500  0.750  0.250
P  0.500  0.750  0.750
Se  0.000  0.000  0.000
Se  0.000  0.500  0.500
Se  0.500  0.000  0.500
Se  0.500  0.500  0.000
Cl  0.000  0.000  0.500
Cl  0.000  0.500  0.000
Cl  0.500  0.000  0.000
Cl  0.500  0.500  0.500

- energy relative to the elements, uncorrected (eV/atom) = 0.460
- E above lowest polymorph (meV/atom) = 355
- mass density (g/cm3) = 3.8
- VASP energy (eV per atom) = -3.90
- DOS at the Fermi energy (states/eV/cell) = 8.84

[6]
Here is an optimized crystal structure of PSe2Cl from the Alexandria database. Energies are from GGA-PBEsol.

Lattice parameters (Å, degrees): 3.636 3.726 6.302 90.00 90.00 90.00
Atoms (fractional coordinates):
P  0.000  0.000  0.000
Se  0.000  0.000  0.500
Se  0.500  0.500  0.500
Cl  0.500  0.500  0.000

- energy relative to the elements, uncorrected (eV/atom) = 0.432
- E above lowest polymorph (meV/atom) = 332
- mass density (g/cm3) = 4.4
- VASP energy (eV per atom) = -3.44
- DOS at the Fermi energy (states/eV/cell) = 2.59

[7]
Here is an optimized crystal structure of PSe2Cl from the Alexandria database. Energies are from GGA-PBEsol.

Lattice parameters (Å, degrees): 3.003 6.597 9.432 90.00 90.00 90.00
Atoms (fractional coordinates):
P  0.000  0.000  0.000
P  0.500  0.500  0.500
Se  0.000  0.500  0.314
Se  0.000  0.500  0.686
Se  0.500  0.000  0.186
Se  0.500  0.000  0.814
Cl  0.000  0.000  0.500
Cl  0.500  0.500  0.000

- energy relative to the elements, uncorrected (eV/atom) = 0.272
- E above lowest polymorph (meV/atom) = 173
- mass density (g/cm3) = 4.0
- VASP energy (eV per atom) = -3.60
- DOS at the Fermi energy (states/eV/cell) = 5.16

[8]
Here is an optimized crystal structure of PSeCl2 from the Alexandria database. Energies are from GGA-PBEsol.

Lattice parameters (Å, degrees): 4.187 4.187 8.134 90.00 90.00 90.00
Atoms (fractional coordinates):
P  0.000  0.000  0.000
P  0.500  0.500  0.500
Se  0.000  0.000  0.500
Se  0.500  0.500  0.000
Cl  0.000  0.500  0.250
Cl  0.000  0.500  0.750
Cl  0.500  0.000  0.250
Cl  0.500  0.000  0.750

- energy relative to the elements, uncorrected (eV/atom) = 0.652
- E above lowest polymorph (meV/atom) = 237
- mass density (g/cm3) = 4.2
- VASP energy (eV per atom) = -2.76
- DOS at the Fermi energy (states/eV/cell) = 5.22

[9]
Here is an optimized crystal structure of PSe2Cl from the Alexandria database. Energies are from GGA-PBEsol.

Lattice parameters (Å, degrees): 6.895 6.895 7.414 90.00 90.00 90.00
Atoms (fractional coordinates):
P  0.000  0.000  0.000
P  0.000  0.500  0.250
P  0.500  0.000  0.750
P  0.500  0.500  0.500
Se  0.186  0.750  0.125
Se  0.250  0.186  0.875
Se  0.250  0.314  0.375
Se  0.314  0.750  0.625
Se  0.686  0.250  0.625
Se  0.750  0.686  0.375
Se  0.750  0.814  0.875
Se  0.814  0.250  0.125
Cl  0.000  0.000  0.500
Cl  0.000  0.500  0.750
Cl  0.500  0.000  0.250
Cl  0.500  0.500  0.000

- energy relative to the elements, uncorrected (eV/atom) = 0.099
- E above lowest polymorph (meV/atom) = 0
- mass density (g/cm3) = 4.2
- VASP energy (eV per atom) = -3.78
- DOS at the Fermi energy (states/eV/cell) = 3.52

[10]
Here is an optimized crystal structure of PSe2Cl from the Alexandria database. Energies are from GGA-PBEsol.

Lattice parameters (Å, degrees): 3.651 3.651 6.500 90.00 90.00 90.00
Atoms (fractional coordinates):
P  0.000  0.000  0.000
Se  0.000  0.500  0.500
Se  0.500  0.000  0.500
Cl  0.500  0.500  0.000

- energy relative to the elements, uncorrected (eV/atom) = 0.513
- E above lowest polymorph (meV/atom) = 413
- mass density (g/cm3) = 4.3
- VASP energy (eV per atom) = -3.36
- DOS at the Fermi energy (states/eV/cell) = 2.89

[11]
Here is an optimized crystal structure of PSeCl2 from the Alexandria database. Energies are from GGA-PBEsol.

Lattice parameters (Å, degrees): 4.194 4.194 17.670 90.00 90.00 90.00
Atoms (fractional coordinates):
P  0.000  0.000  0.000
P  0.000  0.500  0.250
P  0.500  0.000  0.750
P  0.500  0.500  0.500
Se  0.000  0.000  0.500
Se  0.000  0.500  0.750
Se  0.500  0.000  0.250
Se  0.500  0.500  0.000
Cl  0.239  0.250  0.125
Cl  0.250  0.739  0.375
Cl  0.250  0.761  0.875
Cl  0.261  0.250  0.625
Cl  0.739  0.750  0.625
Cl  0.750  0.239  0.875
Cl  0.750  0.261  0.375
Cl  0.761  0.750  0.125

- energy relative to the elements, uncorrected (eV/atom) = 0.415
- E above lowest polymorph (meV/atom) = 0
- mass density (g/cm3) = 3.9
- VASP energy (eV per atom) = -3.00
- DOS at the Fermi energy (states/eV/cell) = 5.79

[12]
Here is an optimized crystal structure of PSe2Cl from the Alexandria database. Energies are from GGA-PBEsol.

Lattice parameters (Å, degrees): 3.458 7.381 7.510 90.00 90.00 90.00
Atoms (fractional coordinates):
P  0.000  0.000  0.000
P  0.500  0.500  0.000
Se  0.000  0.000  0.472
Se  0.000  0.500  0.216
Se  0.500  0.000  0.216
Se  0.500  0.500  0.472
Cl  0.000  0.500  0.757
Cl  0.500  0.000  0.757

- energy relative to the elements, uncorrected (eV/atom) = 0.383
- E above lowest polymorph (meV/atom) = 283
- mass density (g/cm3) = 3.9
- VASP energy (eV per atom) = -3.49
- DOS at the Fermi energy (states/eV/cell) = 5.17

In the order shown, the computed magnetic moment values come out to 0.00 0.00 0.00 0.00 0.00 0.00 0.00 0.00 0.00 0.25 0.00 0.00 μB/atom.